The following is a GGA-PBEsol calculation of a relaxed RbCa3Al crystal, from Alexandria via LeMat-Bulk.

Properties
Crystal system = cubic
Final energy = -2.187 eV/atom
N(E_F) = 0.525 states/eV per atom

```
5
Lattice="6.057 0.000 0.000 0.000 6.057 0.000 0.000 0.000 6.057" Properties=species:S:1:pos:R:3 pbc="T T T"
Ca 0.000 3.028 0.000
Ca 0.000 0.000 3.028
Ca 3.028 0.000 0.000
Al 0.000 0.000 0.000
Rb 3.028 3.028 3.028
```